# 1
# Tb2DyPuO8

Tb2DyPuO8 after structural relaxation (PBE, Alexandria via LeMat-Bulk).

Geometry as POSCAR:
```
Tb2DyPuO8
1.0
5.1082 -0.0584 -0.0030
-0.0312 5.1104 -0.0057
0.0042 0.0077 6.9880
Tb Dy Pu O
2 1 1 8
Cartesian
2.5416 2.5316 5.1733
2.5397 2.5281 1.8060
0.0021 0.0039 3.4940
0.0000 0.0000 0.0000
0.9053 4.1632 1.5448
3.6640 3.6593 6.9817
4.1736 0.8922 1.5465
4.1759 0.8965 5.4345
1.4172 1.4003 -0.0024
0.9076 4.1675 5.4328
3.5151 3.5074 3.4881
1.5661 1.5523 3.4913
```

Results
Formation energy without anion corrections   -3084 meV per atom
Space-group type   P2/m
V   182 Å³/cell
Total magnetic moment   1.0 μB/f.u.
Crystal system   monoclinic



# 2
# DyPuTeO2

DyPuTeO2 after structural relaxation (PBE, Alexandria via LeMat-Bulk).

Geometry as POSCAR:
```
DyPuTeO2
1.0
-0.2839 0.0174 -3.9279
3.8599 -0.7285 -0.2822
-2.9588 -5.8697 2.1621
Dy Pu Te O
1 1 1 2
Cartesian
-0.3796 -2.0182 0.0185
0.9792 -4.6560 -2.0656
-1.1678 -6.2093 0.0569
-0.7201 -3.0653 -1.9358
1.3518 -3.4383 -0.1129
```

Results
Formation energy without anion corrections   -2683 meV per atom
Space-group type   I4mm
V   98 Å³/cell
Total magnetic moment   5.0 μB/f.u.
Crystal system   tetragonal